VASP calculation (PBE-GGA) on a relaxed structure of PrLuMgAu.

Computed properties:
volume: 25.65 Å³ per atom
space group: F-43m, No. 216
M_tot: 0.00 μB/f.u.
uncorrected energy: -3.916 eV/atom

a = 5.255 Å, b = 5.255 Å, c = 5.255 Å
α = 60.00°, β = 60.00°, γ = 60.00°
Fractional positions:
Lu 0.750 0.750 0.750
Au 0.000 0.000 0.000
Pr 0.250 0.250 0.250
Mg 0.500 0.500 0.500

---

VASP calculation (PBE-GGA) on a relaxed structure of KSbW2.

Computed properties:
volume: 26.98 Å³ per atom
space group: C2/m, No. 12
M_tot: 0.00 μB/f.u.
ΔE_f (raw): 0.97 eV per atom

a = 5.429 Å, b = 5.429 Å, c = 6.411 Å
α = 81.10°, β = 81.10°, γ = 35.36°
Fractional positions:
Sb 0.250 0.250 0.250
K 0.750 0.750 0.750
W 0.978 0.978 0.122
W 0.522 0.522 0.378